Compound: ZrZnPdAu
Source: the Open Quantum Materials Database
Functional: PBE-GGA
Structure: optimized geometry

```
data_ZrZnPdAu
_symmetry_space_group_name_H-M 'F -4 3 m'
_symmetry_Int_Tables_number 216
_symmetry_space_group_name_Hall 'F -4 2 3'
_cell_length_a 6.524
_cell_length_b 6.524
_cell_length_c 6.524
_cell_angle_alpha 90.00
_cell_angle_beta 90.00
_cell_angle_gamma 90.00
loop_
_atom_site_label
_atom_site_fract_x
_atom_site_fract_y
_atom_site_fract_z
Zr1 0.000 0.000 0.000
Zn1 0.250 0.250 0.250
Pd1 0.000 0.000 0.500
Au1 0.250 0.250 0.750
```

Output
DFT formation energy, eV/atom: -0.461
Relative energy among the computed polymorphs, eV/f.u.: 0.33